This record from the Alexandria database describes UIrO3 after structural relaxation. The functional is PBE.

Summary:
- raw formation energy (meV/atom) = -1098

a = 4.0050 Å, b = 4.0050 Å, c = 4.0050 Å
α = 90.00°, β = 90.00°, γ = 90.00°
Space group Pm-3m (No. 221)
Asymmetric unit:
U  0.0000  0.0000  0.0000 (multiplicity 1)
Ir  0.5000  0.5000  0.5000 (multiplicity 1)
O  0.0000  0.5000  0.5000 (multiplicity 3)

***

This record from the Alexandria database describes Dy8Co2Ge after structural relaxation. The functional is PBE.

Summary:
- formation energy (eV per atom) = -0.159

a = 8.2509 Å, b = 12.4829 Å, c = 5.8319 Å
α = 90.00°, β = 106.01°, γ = 90.00°
Space group Cm (No. 8)
Asymmetric unit:
Dy  0.0000  0.0000  0.0000 (multiplicity 2)
Dy  0.0704  0.3671  0.7834 (multiplicity 4)
Dy  0.1593  0.1352  0.5823 (multiplicity 4)
Dy  0.2448  0.5000  0.3962 (multiplicity 2)
Dy  0.3642  0.2294  0.1905 (multiplicity 4)
Co  0.3649  0.3103  0.6945 (multiplicity 4)
Ge  0.3696  0.0000  0.3343 (multiplicity 2)